The following is a GGA-PBE calculation of crystalline Ti2MoHBr at its relaxed geometry, from the Alexandria database.

a b c (Å): 4.9008 4.9008 3.2235
angles (deg): 90.00 90.00 90.00
Fractional coordinates of all 5 atoms:
Ti: 0.0000 0.5000 0.0000
Ti: 0.5000 0.0000 0.0000
Mo: 0.0000 0.0000 0.5000
H: 0.5000 0.5000 0.5000
Br: 0.5000 0.5000 0.0000

Properties
Calculated total energy, eV/cell: -27.7
Spin magnetization, μB/f.u.: 0.0
SG: P4/mmm, No. 123